Material: Mg3Ag6Sn
Method: DFT, PBE
State: optimized geometry

Unit cell a=8.5053 b=4.5740 c=9.9192 alpha=90.00 beta=101.48 gamma=90.00
Closest atoms and distances in Å follow each position.
Fractional coordinates of all 20 atoms:
Mg1 0.0465 0.2500 0.3943  8 Ag 2.79-2.92
Mg2 0.1479 0.7500 0.1923  8 Ag 2.83-2.89
Mg3 0.2491 0.2500 0.9866  10 Ag 2.87-3.15
Mg4 0.7509 0.7500 0.0134  10 Ag 2.87-3.15
Mg5 0.8521 0.2500 0.8077  8 Ag 2.83-2.89
Mg6 0.9535 0.7500 0.6057  8 Ag 2.79-2.92
Ag1 0.0421 0.7500 0.9012  7 Mg 2.85-2.91, 3 Ag 2.92-3.19
Ag2 0.1319 0.2500 0.6945  5 Mg 2.79-2.92, 1 Sn 2.93, 2 Ag 2.95
Ag3 0.2376 0.7500 0.4893  4 Mg 2.85-2.89, 3 Sn 3.00-3.07, 1 Ag 3.00
Ag4 0.3377 0.2500 0.2836  4 Mg 2.84-2.90, 2 Sn 2.99, 1 Ag 3.01
Ag5 0.3398 0.7500 0.7971  8 Ag 2.85-3.02, 2 Mg 3.15, 2 Sn 3.16
Ag6 0.4426 0.7500 0.0891  5 Ag 2.85-3.16, 4 Mg 2.87-2.89, 1 Sn 2.91
Ag7 0.5574 0.2500 0.9109  5 Ag 2.85-3.16, 4 Mg 2.87-2.89, 1 Sn 2.91
Ag8 0.6602 0.2500 0.2029  8 Ag 2.85-3.02, 2 Mg 3.15, 2 Sn 3.16
Ag9 0.6623 0.7500 0.7164  4 Mg 2.84-2.90, 2 Sn 2.99, 1 Ag 3.01
Ag10 0.7624 0.2500 0.5107  4 Mg 2.85-2.89, 3 Sn 3.00-3.07, 1 Ag 3.00
Ag11 0.8681 0.7500 0.3055  5 Mg 2.79-2.92, 1 Sn 2.93, 2 Ag 2.95
Ag12 0.9579 0.2500 0.0988  7 Mg 2.85-2.91, 3 Ag 2.92-3.19
Sn1 0.4452 0.2500 0.6135  10 Ag 2.91-3.22
Sn2 0.5548 0.7500 0.3865  10 Ag 2.91-3.22

**DOS(E_F)**: 5.051 states/eV per cell
**Energy relative to the lowest polymorph listed for this composition**: 0 meV per atom
**Space-group type**: P2_1/m
**M_tot**: 0.0 Bohr magnetons per cell
**ΔE_f**: -0.1397 eV/atom